1.
TbNdY | PBE | optimized geometry

The crystal system is tetragonal. Its energy above the most stable polymorph in this dataset is 11 meV per atom. The formation energy comes out at 0.020 eV per atom.

It has space group I4mm (No. 107), with a = 3.6067 Å, b = 3.6067 Å, c = 15.2940 Å, α = 90.00°, β = 90.00° and γ = 90.00°. The asymmetric unit holds Tb at (0.0000, 0.0000, 0.0000), Nd at (0.0000, 0.0000, 0.6669) and Y at (0.0000, 0.0000, 0.3357).

=====

2.
Tb4Nd7Y | PBE | optimized geometry

The crystal system is monoclinic. Its energy above the most stable polymorph in this dataset is 248 meV per atom. The formation energy comes out at 0.254 eV per atom.

It has space group C2/m (No. 12), with a = 12.1624 Å, b = 6.0679 Å, c = 12.8705 Å, α = 90.00°, β = 118.06° and γ = 90.00°. The asymmetric unit holds Tb at (0.0648, 0.0000, 0.3198), Tb at (0.1347, 0.5000, 0.7764), Nd at (0.0000, 0.0000, 0.0000), Nd at (0.1294, 0.5000, 0.4987), Nd at (0.2084, 0.0000, 0.9205), Nd at (0.2382, 0.0000, 0.6779) and Y at (0.0000, 0.5000, 0.0000).

=====

- Which value of formation energy does entry 2 give?
  0.254 eV per atom